## RbSrSbP2 (PBE)

Data for RbSrSbP2 after structural relaxation.

Properties
E_form (uncorrected)	279	meV/atom
crystal system	tetragonal
E	-16.19	eV per cell
total moment	0.00	μB/f.u.

Structure (POSCAR):
```
RbSrSbP2
1.0
5.4221 0.0000 0.0000
0.0000 5.4221 0.0000
0.0000 0.0000 5.8966
Rb Sr Sb P
1 1 1 2
Direct
0.0000 0.0000 0.0000
0.5000 0.5000 0.0000
0.5000 0.5000 0.5000
0.0000 0.5000 0.5000
0.5000 0.0000 0.5000
```